A relaxed structure of TlGa2S, computed with PBE-GGA.

The structure belongs to space group I-42d (No. 122); the cell edges are 6.244, 6.244 and 11.504 Å and the angles 90.00°, 90.00° and 90.00°. The distinct sites, in fractional coordinates, are Tl at (0.000, 0.000, 0.000), Ga at (0.214, 0.250, 0.625) and S at (0.000, 0.000, 0.500).

For the uncorrected formation energy, the calculation gives -0.2 eV/f.u. As for the total energy: -0.1171 Ha/atom. The density of states at the Fermi level comes out at 5.00 states/eV/cell.

A relaxed structure of Tl4Ag3Te5, computed with PBE-GGA.

The structure belongs to space group C2/m (No. 12); the cell edges are 17.299, 5.482 and 8.877 Å and the angles 90.00°, 119.66° and 90.00°. The distinct sites, in fractional coordinates, are Tl at (0.091, 0.000, 0.256), Tl at (0.171, 0.000, 0.879), Ag at (0.000, 0.500, 0.500), Ag at (0.217, 0.500, 0.323), Te at (0.000, 0.000, 0.500), Te at (0.074, 0.500, 0.971) and Te at (0.185, 0.500, 0.612).

For the uncorrected formation energy, the calculation gives -1.6 eV/f.u. As for the total energy: -0.1083 Ha/atom. The density of states at the Fermi level comes out at 3.08 states/eV/cell.